# 1
This record from Alexandria describes a relaxed V2FeSnAs crystal. The functional is PBE.

The structure in CIF format:
```
data_V2FeSnAs
_chemical_formula_sum 'V2 Fe1 Sn1 As1'
_cell_length_a 4.820
_cell_length_b 4.820
_cell_length_c 5.013
_cell_angle_alpha 90.00
_cell_angle_beta 90.00
_cell_angle_gamma 90.00
_space_group_name_H-M_alt 'P 4/m m m'
_space_group_IT_number 123
_space_group_name_Hall '-P 4 2'
loop_
_atom_site_label
_atom_site_type_symbol
_atom_site_fract_x
_atom_site_fract_y
_atom_site_fract_z
V1 V 0.000 0.500 0.000
Fe1 Fe 0.000 0.000 0.500
Sn1 Sn 0.500 0.500 0.000
As1 As 0.500 0.500 0.500
```

Values from the calculation:
- Size of the total moment: 7.4 μB/f.u.
- Raw total energy: -5.173 eV/atom

# 2
This record from Alexandria describes a relaxed AcTiNiP2 crystal. The functional is PBE.

The structure in CIF format:
```
data_AcTiNiP2
_chemical_formula_sum 'Ac2 Ti2 Ni2 P4'
_cell_length_a 3.921
_cell_length_b 3.921
_cell_length_c 12.337
_cell_angle_alpha 90.00
_cell_angle_beta 90.00
_cell_angle_gamma 90.00
_space_group_name_H-M_alt 'I -4 m 2'
_space_group_IT_number 119
_space_group_name_Hall 'I -4 -2'
loop_
_atom_site_label
_atom_site_type_symbol
_atom_site_fract_x
_atom_site_fract_y
_atom_site_fract_z
Ac1 Ac 0.000 0.000 0.000
Ti1 Ti 0.000 0.500 0.750
Ni1 Ni 0.000 0.500 0.250
P1 P 0.000 0.000 0.361
```

Values from the calculation:
- Size of the total moment: 0.0 μB/f.u.
- Raw total energy: -6.773 eV/atom

# 3
This record from Alexandria describes a relaxed LiZnRh crystal. The functional is PBE.

The structure in CIF format:
```
data_LiZnRh
_chemical_formula_sum 'Li4 Zn4 Rh4'
_cell_length_a 5.763
_cell_length_b 5.763
_cell_length_c 5.763
_cell_angle_alpha 90.00
_cell_angle_beta 90.00
_cell_angle_gamma 90.00
_space_group_name_H-M_alt 'F -4 3 m'
_space_group_IT_number 216
_space_group_name_Hall 'F -4 2 3'
loop_
_atom_site_label
_atom_site_type_symbol
_atom_site_fract_x
_atom_site_fract_y
_atom_site_fract_z
Li1 Li 0.000 0.000 0.000
Zn1 Zn 0.250 0.250 0.250
Rh1 Rh 0.000 0.000 0.500
```

Values from the calculation:
- Excess energy over the best structure of this formula in the dataset: 325 meV per atom
- Size of the total moment: 0.0 μB/f.u.

# 4
This record from Alexandria describes a relaxed MnPt4 crystal. The functional is PBE.

The structure in CIF format:
```
data_MnPt4
_chemical_formula_sum 'Mn1 Pt4'
_cell_length_a 4.553
_cell_length_b 4.553
_cell_length_c 4.553
_cell_angle_alpha 90.00
_cell_angle_beta 90.00
_cell_angle_gamma 90.00
_space_group_name_H-M_alt 'P m -3 m'
_space_group_IT_number 221
_space_group_name_Hall '-P 4 2 3'
loop_
_atom_site_label
_atom_site_type_symbol
_atom_site_fract_x
_atom_site_fract_y
_atom_site_fract_z
Mn1 Mn 0.000 0.000 0.000
Pt1 Pt 0.000 0.000 0.500
Pt2 Pt 0.500 0.500 0.500
```

Values from the calculation:
- Excess energy over the best structure of this formula in the dataset: 1305 meV per atom
- Size of the total moment: 3.4 μB/f.u.

Which formula does entry 1 have?
V2FeSnAs

What did the fourth record say?
This record from Alexandria describes a relaxed MnPt4 crystal. The functional is PBE.

The structure in CIF format:
```
data_MnPt4
_chemical_formula_sum 'Mn1 Pt4'
_cell_length_a 4.553
_cell_length_b 4.553
_cell_length_c 4.553
_cell_angle_alpha 90.00
_cell_angle_beta 90.00
_cell_angle_gamma 90.00
_space_group_name_H-M_alt 'P m -3 m'
_space_group_IT_number 221
_space_group_name_Hall '-P 4 2 3'
loop_
_atom_site_label
_atom_site_type_symbol
_atom_site_fract_x
_atom_site_fract_y
_atom_site_fract_z
Mn1 Mn 0.000 0.000 0.000
Pt1 Pt 0.000 0.000 0.500
Pt2 Pt 0.500 0.500 0.500
```

Values from the calculation:
- Excess energy over the best structure of this formula in the dataset: 1305 meV per atom
- Size of the total moment: 3.4 μB/f.u.

Which value of size of the total moment does entry 2 give?
0.0 μB/f.u.

Look up the size of the total moment of the first one.
7.4 μB/f.u.